1.
{
  "formula": "BiPdPt4",
  "functional": "PBE",
  "state": "optimized geometry",
  "cell": [[-0.5965, -3.8050, 3.7357], [4.0734, -1.2028, 3.2786], [-0.2436, 1.3483, 5.1877]],
  "species": ["Pd", "Bi", "Pt", "Pt", "Pt", "Pt"],
  "frac_coords": [[0.2500, 0.2500, 0.2500], [0.0000, 0.0000, 0.0000], [0.6245, 0.6245, 0.1265], [0.6245, 0.1265, 0.6245], [0.6245, 0.6245, 0.6245], [0.1265, 0.6245, 0.6245]],
  "volume_a3_per_cell": 109.2,
  "spacegroup": "F-43m, No. 216",
  "formation_energy_mev_per_atom": -31.4,
  "dos_at_fermi_per_ev_fu": 6.19,
  "density_g_cm3": 16.66
}

***

2.
{
  "formula": "BaSmPtO4",
  "functional": "PBE",
  "state": "optimized geometry",
  "cell": [[-4.2114, 2.9651, -4.0272], [-2.2001, -6.4478, 2.8605], [0.1312, 5.9074, 4.2123]],
  "species": ["Ba", "Ba", "Sm", "Sm", "Pt", "Pt", "O", "O", "O", "O", "O", "O", "O", "O"],
  "frac_coords": [[0.8177, 0.6353, 0.0677], [0.1823, 0.3647, 0.9323], [0.5000, 0.0000, 0.5000], [0.5000, 0.0000, 0.0000], [0.5000, 0.5000, 0.5000], [0.0000, 0.5000, 0.5000], [0.7183, 0.4366, 0.6337], [0.2460, 0.8944, 0.1972], [0.6483, 0.8944, 0.1972], [0.7183, 0.4366, 0.3029], [0.2817, 0.5634, 0.6971], [0.7540, 0.1056, 0.8028], [0.3517, 0.1056, 0.8028], [0.2817, 0.5634, 0.3663]],
  "volume_a3_per_cell": 263.1,
  "spacegroup": "Imma, No. 74",
  "dos_at_fermi_per_ev_fu": 5.01,
  "density_g_cm3": 6.90,
  "dft_energy_ev_per_atom": -6.590
}